Below is a PBEsol-optimized structure of InRhSCl2, with properties calculated at the SCAN level.

Geometry as CIF:
```
data_InRhSCl2
_chemical_formula_sum 'In1 Rh1 S1 Cl2'
_space_group_name_H-M_alt 'P 1'
_space_group_IT_number 1
_cell_length_a 4.9356
_cell_length_b 4.9356
_cell_length_c 5.0139
_cell_angle_alpha 90.00
_cell_angle_beta 90.00
_cell_angle_gamma 90.00
loop_
_space_group_symop_operation_xyz
'x,y,z'
loop_
_atom_site_label
_atom_site_fract_x
_atom_site_fract_y
_atom_site_fract_z
_atom_site_occupancy
In1 0.0000 0.0000 0.0000 1
Rh1 0.5000 0.5000 0.5000 1
S1 0.0000 0.0000 0.5000 1
Cl1 0.0000 0.5000 0.0000 1
Cl2 0.5000 0.0000 0.0000 1
```

Values from the calculation:
VASP energy: -18.434 eV/atom
Crystal system: tetragonal
Magnetic moment: 2.05 μB/f.u.
Space group: P4/mmm, No. 123

***

Below is a PBEsol-optimized structure of SrLa2Pt, with properties calculated at the SCAN level.

Geometry as CIF:
```
data_SrLa2Pt
_chemical_formula_sum 'Sr2 La4 Pt2'
_space_group_name_H-M_alt 'P 1'
_space_group_IT_number 1
_cell_length_a 5.2304
_cell_length_b 5.2506
_cell_length_c 9.8228
_cell_angle_alpha 90.00
_cell_angle_beta 90.00
_cell_angle_gamma 90.00
loop_
_space_group_symop_operation_xyz
'x,y,z'
loop_
_atom_site_label
_atom_site_fract_x
_atom_site_fract_y
_atom_site_fract_z
_atom_site_occupancy
Sr1 0.0000 0.0000 0.0000 1
Sr2 0.5000 0.5000 0.0000 1
La1 0.0000 0.5000 0.3368 1
La2 0.0000 0.5000 0.6632 1
La3 0.5000 0.0000 0.3368 1
La4 0.5000 0.0000 0.6632 1
Pt1 0.0000 0.0000 0.5000 1
Pt2 0.5000 0.5000 0.5000 1
```

Values from the calculation:
VASP energy: -45.271 eV/atom
Energy above the most stable polymorph in this dataset: 84.1 meV/atom
Crystal system: orthorhombic
Magnetic moment: 0.00 μB/f.u.
Space group: Cmmm, No. 65

***

Below is a PBEsol-optimized structure of KTiGeSb2, with properties calculated at the SCAN level.

Geometry as CIF:
```
data_KTiGeSb2
_chemical_formula_sum 'K1 Ti1 Ge1 Sb2'
_space_group_name_H-M_alt 'P 1'
_space_group_IT_number 1
_cell_length_a 5.2017
_cell_length_b 5.2017
_cell_length_c 5.5311
_cell_angle_alpha 90.00
_cell_angle_beta 90.00
_cell_angle_gamma 90.00
loop_
_space_group_symop_operation_xyz
'x,y,z'
loop_
_atom_site_label
_atom_site_fract_x
_atom_site_fract_y
_atom_site_fract_z
_atom_site_occupancy
K1 0.0000 0.0000 0.0000 1
Ti1 0.0000 0.0000 0.5000 1
Ge1 0.5000 0.5000 0.0000 1
Sb1 0.0000 0.5000 0.5000 1
Sb2 0.5000 0.0000 0.5000 1
```

Values from the calculation:
VASP energy: -23.033 eV/atom
Crystal system: tetragonal
Magnetic moment: 0.49 μB/f.u.
Space group: P4/mmm, No. 123

***

Below is a PBEsol-optimized structure of LiAgC2, with properties calculated at the SCAN level.

Geometry as CIF:
```
data_LiAgC2
_chemical_formula_sum 'Li4 Ag4 C8'
_space_group_name_H-M_alt 'P 1'
_space_group_IT_number 1
_cell_length_a 6.1490
_cell_length_b 6.1490
_cell_length_c 4.4591
_cell_angle_alpha 90.00
_cell_angle_beta 90.00
_cell_angle_gamma 90.00
loop_
_space_group_symop_operation_xyz
'x,y,z'
loop_
_atom_site_label
_atom_site_fract_x
_atom_site_fract_y
_atom_site_fract_z
_atom_site_occupancy
Li1 0.0000 0.0000 0.0000 1
Li2 0.0000 0.5000 0.2500 1
Li3 0.5000 0.0000 0.7500 1
Li4 0.5000 0.5000 0.5000 1
Ag1 0.0000 0.0000 0.5000 1
Ag2 0.0000 0.5000 0.7500 1
Ag3 0.5000 0.0000 0.2500 1
Ag4 0.5000 0.5000 0.0000 1
C1 0.2350 0.7500 0.6250 1
C2 0.2500 0.2350 0.3750 1
C3 0.2500 0.2650 0.8750 1
C4 0.2650 0.7500 0.1250 1
C5 0.7350 0.2500 0.1250 1
C6 0.7500 0.7350 0.8750 1
C7 0.7500 0.7650 0.3750 1
C8 0.7650 0.2500 0.6250 1
```

Values from the calculation:
VASP energy: -11.449 eV/atom
Crystal system: tetragonal
Magnetic moment: 0.00 μB/f.u.
Space group: I-42d, No. 122

***

Below is a PBEsol-optimized structure of Ge7H8N2O15, with properties calculated at the SCAN level.

Geometry as CIF:
```
data_Ge7H8N2O15
_chemical_formula_sum 'Ge14 H16 N4 O30'
_space_group_name_H-M_alt 'P 1'
_space_group_IT_number 1
_cell_length_a 7.4772
_cell_length_b 7.4772
_cell_length_c 15.2225
_cell_angle_alpha 101.81
_cell_angle_beta 101.81
_cell_angle_gamma 58.01
loop_
_space_group_symop_operation_xyz
'x,y,z'
loop_
_atom_site_label
_atom_site_fract_x
_atom_site_fract_y
_atom_site_fract_z
_atom_site_occupancy
Ge1 0.0000 0.5000 0.5000 1
Ge2 0.0586 0.8514 0.6470 1
Ge3 0.1366 0.2295 0.1236 1
Ge4 0.1486 0.9414 0.8530 1
Ge5 0.2295 0.1366 0.6236 1
Ge6 0.2355 0.2855 0.8368 1
Ge7 0.2855 0.2355 0.3368 1
Ge8 0.5000 0.0000 0.0000 1
Ge9 0.7145 0.7645 0.6632 1
Ge10 0.7645 0.7145 0.1632 1
Ge11 0.7705 0.8634 0.3764 1
Ge12 0.8514 0.0586 0.1470 1
Ge13 0.8634 0.7705 0.8764 1
Ge14 0.9414 0.1486 0.3530 1
H1 0.2101 0.6359 0.1124 1
H2 0.2516 0.5752 0.0031 1
H3 0.3110 0.6237 0.4220 1
H4 0.3641 0.7899 0.3876 1
H5 0.3763 0.6889 0.0780 1
H6 0.4233 0.4487 0.5793 1
H7 0.4248 0.7484 0.4969 1
H8 0.4487 0.4233 0.0793 1
H9 0.5513 0.5767 0.9207 1
H10 0.5752 0.2516 0.5031 1
H11 0.5767 0.5513 0.4207 1
H12 0.6237 0.3110 0.9220 1
H13 0.6359 0.2101 0.6124 1
H14 0.6889 0.3763 0.5780 1
H15 0.7484 0.4248 0.9969 1
H16 0.7899 0.3641 0.8876 1
N1 0.3248 0.5808 0.0692 1
N2 0.4192 0.6752 0.4308 1
N3 0.5808 0.3248 0.5692 1
N4 0.6752 0.4192 0.9308 1
O1 0.0227 0.0851 0.6173 1
O2 0.0469 0.2086 0.8336 1
O3 0.0851 0.0227 0.1173 1
O4 0.1312 0.4766 0.3994 1
O5 0.1336 0.5516 0.8852 1
O6 0.1597 0.6274 0.5695 1
O7 0.2086 0.0469 0.3336 1
O8 0.2220 0.7780 0.7500 1
O9 0.2262 0.2354 0.5297 1
O10 0.2354 0.2262 0.0297 1
O11 0.2677 0.2845 0.2259 1
O12 0.2845 0.2677 0.7259 1
O13 0.3726 0.8403 0.9305 1
O14 0.4484 0.8664 0.6148 1
O15 0.4766 0.1312 0.8994 1
O16 0.5234 0.8688 0.1006 1
O17 0.5516 0.1336 0.3852 1
O18 0.6274 0.1597 0.0695 1
O19 0.7155 0.7323 0.2741 1
O20 0.7323 0.7155 0.7741 1
O21 0.7646 0.7738 0.9703 1
O22 0.7738 0.7646 0.4703 1
O23 0.7780 0.2220 0.2500 1
O24 0.7914 0.9531 0.6664 1
O25 0.8403 0.3726 0.4305 1
O26 0.8664 0.4484 0.1148 1
O27 0.8688 0.5234 0.6006 1
O28 0.9149 0.9773 0.8827 1
O29 0.9531 0.7914 0.1664 1
O30 0.9773 0.9149 0.3827 1
```

Values from the calculation:
VASP energy: -9.912 eV/atom
Crystal system: monoclinic
Magnetic moment: 0.00 μB/f.u.
Space group: C2/c, No. 15

***

Below is a PBEsol-optimized structure of LiBiO2, with properties calculated at the SCAN level.

Geometry as CIF:
```
data_LiBiO2
_chemical_formula_sum 'Li4 Bi4 O8'
_space_group_name_H-M_alt 'P 1'
_space_group_IT_number 1
_cell_length_a 9.7059
_cell_length_b 9.7059
_cell_length_c 9.7059
_cell_angle_alpha 148.51
_cell_angle_beta 42.57
_cell_angle_gamma 152.09
loop_
_space_group_symop_operation_xyz
'x,y,z'
loop_
_atom_site_label
_atom_site_fract_x
_atom_site_fract_y
_atom_site_fract_z
_atom_site_occupancy
Li1 0.0009 0.2500 0.7509 1
Li2 0.4991 0.2500 0.2491 1
Li3 0.5009 0.7500 0.7509 1
Li4 0.9991 0.7500 0.2491 1
Bi1 0.0876 0.2449 0.3325 1
Bi2 0.4124 0.7449 0.1573 1
Bi3 0.5876 0.2551 0.8427 1
Bi4 0.9124 0.7551 0.6675 1
O1 0.0788 0.8395 0.9183 1
O2 0.2017 0.2518 0.4535 1
O3 0.2983 0.7518 0.0501 1
O4 0.4212 0.3395 0.7608 1
O5 0.5788 0.6605 0.2392 1
O6 0.7017 0.2482 0.9499 1
O7 0.7983 0.7482 0.5465 1
O8 0.9212 0.1605 0.0817 1
```

Values from the calculation:
VASP energy: -24.865 eV/atom
Crystal system: orthorhombic
Magnetic moment: 0.00 μB/f.u.
Space group: Ibam, No. 72

***

Below is a PBEsol-optimized structure of Tl2NiBr, with properties calculated at the SCAN level.

Geometry as CIF:
```
data_Tl2NiBr
_chemical_formula_sum 'Tl8 Ni4 Br4'
_space_group_name_H-M_alt 'P 1'
_space_group_IT_number 1
_cell_length_a 7.2948
_cell_length_b 7.2948
_cell_length_c 7.2948
_cell_angle_alpha 90.00
_cell_angle_beta 90.00
_cell_angle_gamma 90.00
loop_
_space_group_symop_operation_xyz
'x,y,z'
loop_
_atom_site_label
_atom_site_fract_x
_atom_site_fract_y
_atom_site_fract_z
_atom_site_occupancy
Tl1 0.2500 0.2500 0.2500 1
Tl2 0.2500 0.2500 0.7500 1
Tl3 0.2500 0.7500 0.2500 1
Tl4 0.2500 0.7500 0.7500 1
Tl5 0.7500 0.2500 0.2500 1
Tl6 0.7500 0.2500 0.7500 1
Tl7 0.7500 0.7500 0.2500 1
Tl8 0.7500 0.7500 0.7500 1
Ni1 0.0000 0.0000 0.0000 1
Ni2 0.0000 0.5000 0.5000 1
Ni3 0.5000 0.0000 0.5000 1
Ni4 0.5000 0.5000 0.0000 1
Br1 0.0000 0.0000 0.5000 1
Br2 0.0000 0.5000 0.0000 1
Br3 0.5000 0.0000 0.0000 1
Br4 0.5000 0.5000 0.5000 1
```

Values from the calculation:
VASP energy: -44.711 eV/atom
Crystal system: cubic
Magnetic moment: 0.70 μB/f.u.
Space group: Fm-3m, No. 225

***

Below is a PBEsol-optimized structure of LaMgO2, with properties calculated at the SCAN level.

Geometry as CIF:
```
data_LaMgO2
_chemical_formula_sum 'La4 Mg4 O8'
_space_group_name_H-M_alt 'P 1'
_space_group_IT_number 1
_cell_length_a 5.0977
_cell_length_b 5.0977
_cell_length_c 10.2845
_cell_angle_alpha 90.00
_cell_angle_beta 90.00
_cell_angle_gamma 90.00
loop_
_space_group_symop_operation_xyz
'x,y,z'
loop_
_atom_site_label
_atom_site_fract_x
_atom_site_fract_y
_atom_site_fract_z
_atom_site_occupancy
La1 0.0000 0.0000 0.0000 1
La2 0.0000 0.5000 0.2500 1
La3 0.5000 0.0000 0.7500 1
La4 0.5000 0.5000 0.5000 1
Mg1 0.0000 0.0000 0.5000 1
Mg2 0.0000 0.5000 0.7500 1
Mg3 0.5000 0.0000 0.2500 1
Mg4 0.5000 0.5000 0.0000 1
O1 0.2017 0.2500 0.6250 1
O2 0.2500 0.7017 0.8750 1
O3 0.2500 0.7983 0.3750 1
O4 0.2983 0.2500 0.1250 1
O5 0.7017 0.7500 0.1250 1
O6 0.7500 0.2017 0.3750 1
O7 0.7500 0.2983 0.8750 1
O8 0.7983 0.7500 0.6250 1
```

Values from the calculation:
VASP energy: -17.777 eV/atom
Crystal system: tetragonal
Magnetic moment: 0.76 μB/f.u.
Space group: I-42d, No. 122

***

Below is a PBEsol-optimized structure of Ta2MoW, with properties calculated at the SCAN level.

Geometry as CIF:
```
data_Ta2MoW
_chemical_formula_sum 'Ta2 Mo1 W1'
_space_group_name_H-M_alt 'P 1'
_space_group_IT_number 1
_cell_length_a 2.7942
_cell_length_b 4.4709
_cell_length_c 5.3205
_cell_angle_alpha 90.00
_cell_angle_beta 99.44
_cell_angle_gamma 90.00
loop_
_space_group_symop_operation_xyz
'x,y,z'
loop_
_atom_site_label
_atom_site_fract_x
_atom_site_fract_y
_atom_site_fract_z
_atom_site_occupancy
Ta1 0.2455 0.0000 0.2505 1
Ta2 0.7545 0.0000 0.7495 1
Mo1 0.0000 0.5000 0.5000 1
W1 0.5000 0.5000 0.0000 1
```

Values from the calculation:
VASP energy: -59.532 eV/atom
Crystal system: monoclinic
Magnetic moment: 0.00 μB/f.u.
Space group: P2/m, No. 10

***

Below is a PBEsol-optimized structure of BaCoTe2, with properties calculated at the SCAN level.

Geometry as CIF:
```
data_BaCoTe2
_chemical_formula_sum 'Ba4 Co4 Te8'
_space_group_name_H-M_alt 'P 1'
_space_group_IT_number 1
_cell_length_a 7.8999
_cell_length_b 7.8999
_cell_length_c 7.2718
_cell_angle_alpha 90.00
_cell_angle_beta 90.00
_cell_angle_gamma 90.00
loop_
_space_group_symop_operation_xyz
'x,y,z'
loop_
_atom_site_label
_atom_site_fract_x
_atom_site_fract_y
_atom_site_fract_z
_atom_site_occupancy
Ba1 0.0000 0.0000 0.0000 1
Ba2 0.0000 0.5000 0.2500 1
Ba3 0.5000 0.0000 0.7500 1
Ba4 0.5000 0.5000 0.5000 1
Co1 0.0000 0.0000 0.5000 1
Co2 0.0000 0.5000 0.7500 1
Co3 0.5000 0.0000 0.2500 1
Co4 0.5000 0.5000 0.0000 1
Te1 0.1458 0.7500 0.6250 1
Te2 0.2500 0.1458 0.3750 1
Te3 0.2500 0.3542 0.8750 1
Te4 0.3542 0.7500 0.1250 1
Te5 0.6458 0.2500 0.1250 1
Te6 0.7500 0.6458 0.8750 1
Te7 0.7500 0.8542 0.3750 1
Te8 0.8542 0.2500 0.6250 1
```

Values from the calculation:
VASP energy: -33.645 eV/atom
Crystal system: tetragonal
Magnetic moment: 2.00 μB/f.u.
Space group: I-42d, No. 122

***

Below is a PBEsol-optimized structure of SrTaAl2, with properties calculated at the SCAN level.

Geometry as CIF:
```
data_SrTaAl2
_chemical_formula_sum 'Sr2 Ta2 Al4'
_space_group_name_H-M_alt 'P 1'
_space_group_IT_number 1
_cell_length_a 2.9802
_cell_length_b 5.2373
_cell_length_c 10.5646
_cell_angle_alpha 90.00
_cell_angle_beta 90.00
_cell_angle_gamma 90.00
loop_
_space_group_symop_operation_xyz
'x,y,z'
loop_
_atom_site_label
_atom_site_fract_x
_atom_site_fract_y
_atom_site_fract_z
_atom_site_occupancy
Sr1 0.0000 0.0000 0.0000 1
Sr2 0.5000 0.5000 0.5000 1
Ta1 0.0000 0.5000 0.7841 1
Ta2 0.5000 0.0000 0.2841 1
Al1 0.0000 0.0000 0.5060 1
Al2 0.0000 0.5000 0.2282 1
Al3 0.5000 0.0000 0.7282 1
Al4 0.5000 0.5000 0.0060 1
```

Values from the calculation:
VASP energy: -25.708 eV/atom
Crystal system: orthorhombic
Magnetic moment: 0.63 μB/f.u.
Space group: Imm2, No. 44

***

Below is a PBEsol-optimized structure of V2O3F3, with properties calculated at the SCAN level.

Geometry as CIF:
```
data_V2O3F3
_chemical_formula_sum 'V6 O9 F9'
_space_group_name_H-M_alt 'P 1'
_space_group_IT_number 1
_cell_length_a 5.1577
_cell_length_b 5.2073
_cell_length_c 12.8585
_cell_angle_alpha 88.90
_cell_angle_beta 89.46
_cell_angle_gamma 60.44
loop_
_space_group_symop_operation_xyz
'x,y,z'
loop_
_atom_site_label
_atom_site_fract_x
_atom_site_fract_y
_atom_site_fract_z
_atom_site_occupancy
V1 0.0000 0.0000 0.0000 1
V2 0.0001 0.0487 0.4851 1
V3 0.3811 0.3435 0.3274 1
V4 0.4021 0.3371 0.8270 1
V5 0.6596 0.6804 0.1553 1
V6 0.7021 0.7156 0.6648 1
O1 0.1325 0.2298 0.4173 1
O2 0.3736 0.7888 0.0754 1
O3 0.4710 0.5464 0.7485 1
O4 0.5588 0.4612 0.2441 1
O5 0.5790 0.0004 0.7461 1
O6 0.6804 0.1408 0.4147 1
O7 0.6941 0.2123 0.9136 1
O8 0.8250 0.8871 0.0840 1
O9 0.9019 0.7844 0.5806 1
F1 0.0077 0.5632 0.2517 1
F2 0.0164 0.4445 0.7489 1
F3 0.1271 0.6583 0.9144 1
F4 0.2371 0.6855 0.4137 1
F5 0.2392 0.1097 0.9104 1
F6 0.3546 0.8815 0.5828 1
F7 0.4525 0.0086 0.2484 1
F8 0.8000 0.3313 0.5865 1
F9 0.9330 0.3379 0.0797 1
```

Values from the calculation:
VASP energy: -10.827 eV/atom
Energy above the most stable polymorph in this dataset: 0.0 meV/atom
Crystal system: triclinic
Magnetic moment: 1.00 μB/f.u.
Space group: P1, No. 1